First-principles (PBE) data for crystalline Tb2DyThSc at its relaxed geometry, as listed in Alexandria via LeMat-Bulk.

Lattice parameters (Å, degrees): 6.6499 7.7070 6.1737 89.99 90.00 90.00
Closest atoms and distances in Å follow each position.
Fractional positions:
Tb 0.7207 0.7086 0.7500  1 Th 3.07, 1 Tb 3.22, 2 Sc 3.30
Tb 0.7207 0.2914 0.7500  1 Th 3.07, 1 Tb 3.22, 2 Sc 3.30
Tb 0.2793 0.7086 0.2500  1 Th 3.07, 1 Tb 3.22, 2 Sc 3.30
Tb 0.2793 0.2914 0.2500  1 Th 3.07, 1 Tb 3.22, 2 Sc 3.30
Dy 0.1844 0.5000 0.7500  6 Tb 3.48-3.54
Dy 0.8156 0.5000 0.2500  6 Tb 3.48-3.54
Th 0.5939 0.0000 0.2500  2 Tb 3.07, 2 Sc 3.11, 2 Th 3.33
Th 0.4061 0.0000 0.7500  2 Tb 3.07, 2 Sc 3.11, 2 Th 3.33
Sc 0.0000 0.0000 0.0000  2 Sc 3.09, 2 Th 3.11, 4 Tb 3.30
Sc 0.0000 0.0000 0.5000  2 Sc 3.09, 2 Th 3.11, 4 Tb 3.30

mass density: 7.95 g/cm3
Fermi-level density of states: 6.5 states/eV/f.u.
VASP energy: -5.2352 eV per atom
formation energy from the elements: 0.288 eV per atom

=====

First-principles (PBE) data for crystalline BaAgRu4 at its relaxed geometry, as listed in Alexandria via LeMat-Bulk.

Lattice parameters (Å, degrees): 5.4329 5.4329 5.4329 60.00 60.00 60.00
Closest atoms and distances in Å follow each position.
Fractional positions:
Ba 0.0000 0.0000 0.0000  12 Ru 3.19, 4 Ag 3.33
Ag 0.7500 0.7500 0.7500  12 Ru 3.18, 4 Ba 3.33
Ru 0.8723 0.3759 0.3759  6 Ru 2.70-2.74
Ru 0.3759 0.3759 0.8723  6 Ru 2.70-2.74
Ru 0.3759 0.8723 0.3759  6 Ru 2.70-2.74
Ru 0.3759 0.3759 0.3759  6 Ru 2.70-2.74

mass density: 9.51 g/cm3
Fermi-level density of states: 7.5 states/eV/f.u.
VASP energy: -6.2244 eV per atom
formation energy from the elements: 0.755 eV per atom

=====

What is the Fermi-level density of states in the first record? 6.5 states/eV/f.u.

=====

The highest Fermi-level density of states belongs to which entry? BaAgRu4

=====

Which of these has the highest VASP energy? Tb2DyThSc